1.
Here is an optimized crystal structure of InCo3 from Alexandria via LeMat-Bulk. Energies are from PBE.

a = 4.609 Å, b = 4.609 Å, c = 4.439 Å
α = 105.91°, β = 105.91°, γ = 36.41°
Sites, in units of the cell vectors:
1 In 0.000 0.000 0.000
2 Co 0.234 0.234 0.710
3 Co 0.500 0.500 0.500
4 Co 0.766 0.766 0.290

Values from the calculation:
crystal system	monoclinic
DFT formation energy	227	meV per atom

***

2.
Here is an optimized crystal structure of InCo from Alexandria via LeMat-Bulk. Energies are from PBE.

a = 3.053 Å, b = 3.053 Å, c = 4.042 Å
α = 90.00°, β = 90.00°, γ = 120.00°
Sites, in units of the cell vectors:
1 In 0.000 0.000 0.000
2 Co 0.333 0.667 0.500

Values from the calculation:
crystal system	hexagonal
DFT formation energy	310	meV per atom

***

3.
Here is an optimized crystal structure of In7Co from Alexandria via LeMat-Bulk. Energies are from PBE.

a = 6.463 Å, b = 6.463 Å, c = 6.463 Å
α = 60.00°, β = 60.00°, γ = 60.00°
Sites, in units of the cell vectors:
1 In 0.000 0.000 0.000
2 In 0.000 0.000 0.500
3 In 0.000 0.500 0.000
4 In 0.000 0.500 0.500
5 In 0.500 0.000 0.000
6 In 0.500 0.000 0.500
7 In 0.500 0.500 0.000
8 Co 0.500 0.500 0.500

Values from the calculation:
crystal system	cubic
DFT formation energy	253	meV per atom

***

4.
Here is an optimized crystal structure of InCo4 from Alexandria via LeMat-Bulk. Energies are from PBE.

a = 4.531 Å, b = 4.531 Å, c = 4.531 Å
α = 99.80°, β = 99.80°, γ = 131.26°
Sites, in units of the cell vectors:
1 In 0.000 0.000 0.000
2 Co 0.188 0.415 0.603
3 Co 0.415 0.812 0.227
4 Co 0.585 0.188 0.773
5 Co 0.812 0.585 0.397

Values from the calculation:
crystal system	tetragonal
energy above the lowest structure with this stoichiometry	0.00	eV per formula unit
DFT formation energy	161	meV per atom

***

5.
Here is an optimized crystal structure of InCo from Alexandria via LeMat-Bulk. Energies are from PBE.

a = 8.711 Å, b = 8.711 Å, c = 8.711 Å
α = 20.46°, β = 20.46°, γ = 20.46°
Sites, in units of the cell vectors:
1 In 0.113 0.113 0.113
2 In 0.887 0.887 0.887
3 Co 0.363 0.363 0.363
4 Co 0.637 0.637 0.637

Values from the calculation:
crystal system	trigonal
DFT formation energy	378	meV per atom

***

6.
Here is an optimized crystal structure of In3Co from Alexandria via LeMat-Bulk. Energies are from PBE.

a = 7.036 Å, b = 7.036 Å, c = 7.036 Å
α = 155.79°, β = 143.26°, γ = 44.49°
Sites, in units of the cell vectors:
1 In 0.000 0.000 0.000
2 In 0.322 0.822 0.500
3 In 0.678 0.178 0.500
4 Co 0.500 0.500 0.000

Values from the calculation:
crystal system	orthorhombic
DFT formation energy	77	meV per atom

***

7.
Here is an optimized crystal structure of InCo3 from Alexandria via LeMat-Bulk. Energies are from PBE.

a = 2.779 Å, b = 2.779 Å, c = 8.223 Å
α = 90.00°, β = 90.00°, γ = 120.00°
Sites, in units of the cell vectors:
1 In 0.000 0.000 0.000
2 Co 0.000 0.000 0.500
3 Co 0.333 0.667 0.275
4 Co 0.333 0.667 0.725

Values from the calculation:
crystal system	hexagonal
DFT formation energy	360	meV per atom

***

8.
Here is an optimized crystal structure of InCo from Alexandria via LeMat-Bulk. Energies are from PBE.

a = 6.291 Å, b = 6.291 Å, c = 6.481 Å
α = 116.40°, β = 116.40°, γ = 26.38°
Sites, in units of the cell vectors:
1 In 0.000 0.000 0.000
2 In 0.048 0.048 0.546
3 In 0.281 0.281 0.125
4 Co 0.364 0.364 0.589
5 Co 0.679 0.679 0.350
6 Co 0.761 0.761 0.757

Values from the calculation:
crystal system	monoclinic
DFT formation energy	168	meV per atom

***

9.
Here is an optimized crystal structure of In3Co2 from Alexandria via LeMat-Bulk. Energies are from PBE.

a = 7.183 Å, b = 5.452 Å, c = 8.126 Å
α = 60.11°, β = 41.15°, γ = 78.74°
Sites, in units of the cell vectors:
1 In 0.000 0.000 0.000
2 In 0.250 0.250 0.250
3 In 0.312 0.641 0.478
4 In 0.641 0.312 0.569
5 In 0.681 0.772 0.609
6 In 0.772 0.681 0.938
7 Co 0.117 0.477 0.980
8 Co 0.270 0.824 0.133
9 Co 0.477 0.117 0.426
10 Co 0.824 0.270 0.773

Values from the calculation:
crystal system	orthorhombic
DFT formation energy	286	meV per atom

***

10.
Here is an optimized crystal structure of In4Co from Alexandria via LeMat-Bulk. Energies are from PBE.

a = 8.604 Å, b = 8.604 Å, c = 8.604 Å
α = 153.18°, β = 153.18°, γ = 38.29°
Sites, in units of the cell vectors:
1 In 0.087 0.087 0.000
2 In 0.250 0.750 0.500
3 In 0.750 0.250 0.500
4 In 0.913 0.913 0.000
5 Co 0.500 0.500 0.000

Values from the calculation:
crystal system	tetragonal
energy above the lowest structure with this stoichiometry	2.69	eV per formula unit
DFT formation energy	595	meV per atom

***

11.
Here is an optimized crystal structure of In3Co from Alexandria via LeMat-Bulk. Energies are from PBE.

a = 3.826 Å, b = 4.468 Å, c = 5.316 Å
α = 90.00°, β = 103.41°, γ = 90.00°
Sites, in units of the cell vectors:
1 In 0.000 0.000 0.000
2 In 0.332 0.500 0.719
3 In 0.668 0.500 0.281
4 Co 0.000 0.000 0.500

Values from the calculation:
crystal system	monoclinic
DFT formation energy	262	meV per atom

***

12.
Here is an optimized crystal structure of InCo from Alexandria via LeMat-Bulk. Energies are from PBE.

a = 6.928 Å, b = 6.928 Å, c = 6.928 Å
α = 92.61°, β = 92.61°, γ = 155.36°
Sites, in units of the cell vectors:
1 In 0.134 0.826 0.960
2 In 0.174 0.134 0.307
3 In 0.826 0.866 0.693
4 In 0.866 0.174 0.040
5 Co 0.143 0.531 0.675
6 Co 0.469 0.143 0.612
7 Co 0.531 0.857 0.388
8 Co 0.857 0.469 0.325

Values from the calculation:
crystal system	tetragonal
DFT formation energy	216	meV per atom

***

13.
Here is an optimized crystal structure of InCo from Alexandria via LeMat-Bulk. Energies are from PBE.

a = 3.687 Å, b = 3.687 Å, c = 3.687 Å
α = 60.00°, β = 60.00°, γ = 60.00°
Sites, in units of the cell vectors:
1 In 0.000 0.000 0.000
2 Co 0.500 0.500 0.500

Values from the calculation:
crystal system	cubic
DFT formation energy	566	meV per atom

***

14.
Here is an optimized crystal structure of InCo from Alexandria via LeMat-Bulk. Energies are from PBE.

a = 4.508 Å, b = 4.508 Å, c = 4.508 Å
α = 60.00°, β = 60.00°, γ = 60.00°
Sites, in units of the cell vectors:
1 In 0.125 0.125 0.125
2 In 0.875 0.875 0.875
3 Co 0.375 0.375 0.375
4 Co 0.625 0.625 0.625

Values from the calculation:
crystal system	cubic
DFT formation energy	463	meV per atom

***

15.
Here is an optimized crystal structure of InCo from Alexandria via LeMat-Bulk. Energies are from PBE.

a = 3.030 Å, b = 3.030 Å, c = 7.446 Å
α = 90.00°, β = 90.00°, γ = 90.00°
Sites, in units of the cell vectors:
1 In 0.250 0.250 0.185
2 In 0.750 0.750 0.815
3 Co 0.250 0.250 0.577
4 Co 0.750 0.750 0.423

Values from the calculation:
crystal system	tetragonal
DFT formation energy	209	meV per atom

***

16.
Here is an optimized crystal structure of InCo from Alexandria via LeMat-Bulk. Energies are from PBE.

a = 4.144 Å, b = 4.144 Å, c = 4.144 Å
α = 60.00°, β = 60.00°, γ = 60.00°
Sites, in units of the cell vectors:
1 In 0.000 0.000 0.000
2 Co 0.750 0.750 0.750

Values from the calculation:
crystal system	cubic
DFT formation energy	1125	meV per atom

***

17.
Here is an optimized crystal structure of InCo2 from Alexandria via LeMat-Bulk. Energies are from PBE.

a = 4.147 Å, b = 4.147 Å, c = 2.885 Å
α = 90.00°, β = 90.00°, γ = 120.00°
Sites, in units of the cell vectors:
1 In 0.000 0.000 0.000
2 Co 0.333 0.667 0.500
3 Co 0.667 0.333 0.500

Values from the calculation:
crystal system	hexagonal
DFT formation energy	251	meV per atom

***

18.
Here is an optimized crystal structure of InCo from Alexandria via LeMat-Bulk. Energies are from PBE.

a = 3.073 Å, b = 4.760 Å, c = 4.452 Å
α = 90.00°, β = 90.00°, γ = 90.00°
Sites, in units of the cell vectors:
1 In 0.250 0.250 0.115
2 In 0.750 0.750 0.885
3 Co 0.250 0.750 0.406
4 Co 0.750 0.250 0.594

Values from the calculation:
crystal system	orthorhombic
DFT formation energy	361	meV per atom

***

19.
Here is an optimized crystal structure of InCo from Alexandria via LeMat-Bulk. Energies are from PBE.

a = 7.831 Å, b = 7.203 Å, c = 4.743 Å
α = 78.98°, β = 64.54°, γ = 36.48°
Sites, in units of the cell vectors:
1 In 0.047 0.703 0.047
2 In 0.297 0.953 0.297
3 In 0.703 0.047 0.703
4 In 0.953 0.297 0.953
5 Co 0.291 0.291 0.459
6 Co 0.459 0.459 0.291
7 Co 0.541 0.541 0.709
8 Co 0.709 0.709 0.541

Values from the calculation:
crystal system	orthorhombic
DFT formation energy	350	meV per atom

***

20.
Here is an optimized crystal structure of In5Co from Alexandria via LeMat-Bulk. Energies are from PBE.

a = 5.751 Å, b = 5.751 Å, c = 5.789 Å
α = 90.00°, β = 90.00°, γ = 120.00°
Sites, in units of the cell vectors:
1 In 0.000 0.500 0.000
2 In 0.333 0.667 0.500
3 In 0.500 0.000 0.000
4 In 0.500 0.500 0.000
5 In 0.667 0.333 0.500
6 Co 0.000 0.000 0.500

Values from the calculation:
crystal system	hexagonal
DFT formation energy	632	meV per atom

***

21.
Here is an optimized crystal structure of InCo3 from Alexandria via LeMat-Bulk. Energies are from PBE.

a = 4.905 Å, b = 4.905 Å, c = 4.905 Å
α = 116.72°, β = 116.72°, γ = 116.72°
Sites, in units of the cell vectors:
1 In 0.000 0.000 0.000
2 Co 0.000 0.500 0.500
3 Co 0.500 0.000 0.500
4 Co 0.500 0.500 0.000

Values from the calculation:
crystal system	trigonal
DFT formation energy	351	meV per atom

***

22.
Here is an optimized crystal structure of InCo from Alexandria via LeMat-Bulk. Energies are from PBE.

a = 5.210 Å, b = 5.210 Å, c = 5.211 Å
α = 90.00°, β = 90.00°, γ = 90.00°
Sites, in units of the cell vectors:
1 In 0.195 0.195 0.000
2 In 0.305 0.695 0.500
3 In 0.695 0.305 0.500
4 In 0.805 0.805 0.000
5 Co 0.169 0.169 0.500
6 Co 0.331 0.669 0.000
7 Co 0.669 0.331 0.000
8 Co 0.831 0.831 0.500

Values from the calculation:
crystal system	tetragonal
DFT formation energy	514	meV per atom

***

23.
Here is an optimized crystal structure of In6Co7 from Alexandria via LeMat-Bulk. Energies are from PBE.

a = 9.403 Å, b = 9.403 Å, c = 9.403 Å
α = 31.84°, β = 31.84°, γ = 31.84°
Sites, in units of the cell vectors:
1 In 0.053 0.053 0.053
2 In 0.157 0.157 0.157
3 In 0.334 0.334 0.334
4 In 0.666 0.666 0.666
5 In 0.843 0.843 0.843
6 In 0.947 0.947 0.947
7 Co 0.091 0.591 0.591
8 Co 0.409 0.409 0.909
9 Co 0.409 0.909 0.409
10 Co 0.500 0.500 0.500
11 Co 0.591 0.091 0.591
12 Co 0.591 0.591 0.091
13 Co 0.909 0.409 0.409

Values from the calculation:
crystal system	trigonal
DFT formation energy	181	meV per atom

***

24.
Here is an optimized crystal structure of In5Co from Alexandria via LeMat-Bulk. Energies are from PBE.

a = 11.059 Å, b = 11.059 Å, c = 4.272 Å
α = 90.00°, β = 90.00°, γ = 163.71°
Sites, in units of the cell vectors:
1 In 0.000 0.000 0.000
2 In 0.105 0.895 0.500
3 In 0.313 0.687 0.000
4 In 0.687 0.313 0.000
5 In 0.895 0.105 0.500
6 Co 0.500 0.500 0.500

Values from the calculation:
crystal system	orthorhombic
DFT formation energy	100	meV per atom

***

25.
Here is an optimized crystal structure of InCo2 from Alexandria via LeMat-Bulk. Energies are from PBE.

a = 4.154 Å, b = 4.154 Å, c = 4.154 Å
α = 60.00°, β = 60.00°, γ = 60.00°
Sites, in units of the cell vectors:
1 In 0.000 0.000 0.000
2 Co 0.250 0.250 0.250
3 Co 0.750 0.750 0.750

Values from the calculation:
crystal system	cubic
DFT formation energy	826	meV per atom

***

26.
Here is an optimized crystal structure of InCo2 from Alexandria via LeMat-Bulk. Energies are from PBE.

a = 8.890 Å, b = 8.890 Å, c = 3.920 Å
α = 90.00°, β = 90.00°, γ = 161.69°
Sites, in units of the cell vectors:
1 In 0.182 0.818 0.750
2 In 0.818 0.182 0.250
3 Co 0.063 0.937 0.250
4 Co 0.452 0.548 0.250
5 Co 0.548 0.452 0.750
6 Co 0.937 0.063 0.750

Values from the calculation:
crystal system	orthorhombic
DFT formation energy	241	meV per atom